No. 1
## SrLaHf (PBE)

Data for SrLaHf after structural relaxation.

CIF file:
```
data_SrLaHf
_space_group_name_H-M_alt 'P 1'
_space_group_IT_number 1
_space_group_name_Hall 'P 1'
_cell_length_a 5.5140
_cell_length_b 5.5140
_cell_length_c 5.5140
_cell_angle_alpha 60.00
_cell_angle_beta 60.00
_cell_angle_gamma 60.00
loop_
_atom_site_label
_atom_site_type_symbol
_atom_site_fract_x
_atom_site_fract_y
_atom_site_fract_z
Hf1 Hf 0.0000 0.0000 0.0000
La1 La 0.2500 0.2500 0.2500
Sr1 Sr 0.7500 0.7500 0.7500
```

Results
Total moment in μB per formula unit: 0.35
V in A^3/atom: 39.51
Symmetry: No. 216
E above lowest polymorph in meV/atom: 0

=====

No. 2
## Dy2Sc2BI2Br3 (PBE)

Data for Dy2Sc2BI2Br3 after structural relaxation.

CIF file:
```
data_Dy2Sc2BI2Br3
_space_group_name_H-M_alt 'P 1'
_space_group_IT_number 1
_space_group_name_Hall 'P 1'
_cell_length_a 10.3088
_cell_length_b 10.3088
_cell_length_c 8.1715
_cell_angle_alpha 101.05
_cell_angle_beta 101.05
_cell_angle_gamma 21.55
loop_
_atom_site_label
_atom_site_type_symbol
_atom_site_fract_x
_atom_site_fract_y
_atom_site_fract_z
Sc1 Sc 0.3835 0.3835 0.9496
Sc2 Sc 0.6165 0.6165 0.0504
B1 B 0.5000 0.5000 0.0000
I1 I 0.8415 0.8415 0.6771
I2 I 0.1585 0.1585 0.3229
Br1 Br 0.1476 0.1476 0.8351
Br2 Br 0.5000 0.5000 0.5000
Br3 Br 0.8524 0.8524 0.1649
Dy1 Dy 0.9993 0.9993 0.7906
Dy2 Dy 0.0007 0.0007 0.2094
```

Results
Final energy in eV per atom: -4.909
Total moment in μB per formula unit: 0.01
V in A^3/atom: 31.28
Symmetry: No. 12

=====

No. 3
## LuNbW2 (PBE)

Data for LuNbW2 after structural relaxation.

CIF file:
```
data_LuNbW2
_space_group_name_H-M_alt 'P 1'
_space_group_IT_number 1
_space_group_name_Hall 'P 1'
_cell_length_a 4.6875
_cell_length_b 4.6875
_cell_length_c 4.6875
_cell_angle_alpha 60.00
_cell_angle_beta 60.00
_cell_angle_gamma 60.00
loop_
_atom_site_label
_atom_site_type_symbol
_atom_site_fract_x
_atom_site_fract_y
_atom_site_fract_z
Nb1 Nb 0.5000 0.5000 0.5000
W1 W 0.7500 0.7500 0.7500
W2 W 0.0000 0.0000 0.0000
Lu1 Lu 0.2500 0.2500 0.2500
```

Results
Formation enthalpy at 0 K in eV per formula unit: 1.29
Total moment in μB per formula unit: 0.01
V in A^3/atom: 18.21
Symmetry: No. 216